KSr2AlNi after structural relaxation, computed with GGA-PBE.

a b c (Å): 5.946 5.946 4.823
angles (deg): 90.00 90.00 90.00
Element x y z (fractional)
1 Sr 0.000 0.500 0.000
2 Sr 0.500 0.000 0.000
3 K 0.500 0.500 0.500
4 Al 0.000 0.000 0.500
5 Ni 0.000 0.000 0.000

DOS(E_F)	4.2	states/eV per cell
magnetization	0.097	μB per atom
formation enthalpy at 0 K	9.7	kJ/mol of formula units
crystal system	tetragonal